Pm4SiCl | the Alexandria database | PBE | optimized geometry; calculated volume = 30.3 Å³/atom; density of states at the Fermi level = 1.020 states/eV/atom; ΔE_f (raw) = -0.66 eV/atom
1.0
-5.267 -4.142 1.991
3.214 -2.510 -5.690
6.039 -0.810 6.504
Pm Si Cl
8 2 2
Direct
0.198 0.449 0.393
0.572 0.324 0.135
0.802 0.551 0.607
0.305 0.056 0.607
0.937 0.190 0.865
0.063 0.810 0.135
0.428 0.676 0.865
0.695 0.944 0.393
0.684 0.434 0.869
0.316 0.566 0.131
0.189 0.939 0.878
0.811 0.061 0.122

=====

HgMo2Pt | the Alexandria database | PBE | optimized geometry; calculated volume = 16.9 Å³/atom; density of states at the Fermi level = 0.621 states/eV/atom; E above lowest polymorph = 0.101 eV/atom
1.0
4.989 -0.026 -0.043
1.693 4.693 0.043
-3.218 -2.510 2.870
Hg Pt Mo
1 1 2
Direct
0.245 0.745 0.500
0.501 0.501 0.000
0.767 0.267 0.500
0.986 0.986 0.000

=====

CrReAu2 | the Alexandria database | PBE | optimized geometry; calculated volume = 22.8 Å³/atom; density of states at the Fermi level = 0.465 states/eV/atom; E above lowest polymorph = 1.554 eV/atom
1.0
5.663 0.000 0.000
0.000 5.663 0.000
2.832 2.832 5.687
Au Re Cr
4 2 2
Direct
0.614 0.125 0.250
0.136 0.625 0.250
0.375 0.386 0.750
0.875 0.864 0.750
0.750 0.250 0.500
0.000 0.000 0.000
0.250 0.750 0.500
0.500 0.500 0.000

=====

PdSe3 | the Alexandria database | PBE | optimized geometry; calculated volume = 22.6 Å³/atom; density of states at the Fermi level = 0.609 states/eV/atom; ΔE_f (raw) = 0.06 eV/atom
1.0
3.739 0.000 0.000
0.000 4.354 0.000
-1.870 -2.177 5.557
Se Pd
3 1
Direct
0.500 0.417 0.000
0.657 0.074 0.314
0.343 0.760 0.686
0.000 0.917 0.000

=====

LiCuAu | the Alexandria database | PBE | optimized geometry; calculated volume = 14.6 Å³/atom; density of states at the Fermi level = 0.386 states/eV/atom; E above lowest polymorph = 0.005 eV/atom
1.0
-3.767 0.520 0.650
-0.548 -2.435 -1.230
-3.054 -3.261 7.823
Li Cu Au
2 2 2
Direct
0.884 0.891 0.757
0.570 0.391 0.572
0.552 0.893 0.088
0.901 0.393 0.240
0.229 0.392 0.912
0.225 0.892 0.416

=====

Ac2PrTmAs4 | the Alexandria database | PBE | optimized geometry; calculated volume = 29.6 Å³/atom; density of states at the Fermi level = 0.085 states/eV/atom; E_tot = -47.685 eV for the cell shown
1.0
-2.528 1.999 2.957
3.635 -3.632 5.565
5.917 4.138 2.263
Tm As Ac Pr
1 4 2 1
Direct
0.000 0.500 0.500
0.000 0.733 0.749
0.000 0.267 0.251
0.500 0.271 0.736
0.500 0.729 0.264
0.500 0.000 0.500
0.000 0.000 0.000
0.500 0.500 0.000

=====

Dy2PaCo9 | the Alexandria database | PBE | optimized geometry; calculated volume = 14.3 Å³/atom; density of states at the Fermi level = 1.343 states/eV/atom; E_tot = -85.002 eV for the cell shown
1.0
-2.328 0.793 -4.243
-4.849 -0.671 -0.299
-3.613 7.906 0.626
Co Pa Dy
9 1 2
Direct
0.080 0.582 0.756
0.582 0.080 0.756
0.334 0.334 0.998
0.582 0.582 0.756
0.418 0.920 0.244
0.418 0.418 0.244
0.500 0.500 0.500
0.920 0.418 0.244
0.666 0.666 0.002
0.000 0.000 0.000
0.860 0.860 0.420
0.140 0.140 0.580

=====

Y2AlO4 | the Alexandria database | PBE | optimized geometry; calculated volume = 11.7 Å³/atom; density of states at the Fermi level = 0.046 states/eV/atom; ΔE_f (raw) = -2.93 eV/atom
1.0
3.032 0.000 0.000
0.000 6.080 -0.449
-1.516 -3.372 4.692
O Y Al
4 2 1
Direct
0.049 0.758 0.098
0.645 0.227 0.291
0.355 0.773 0.709
0.951 0.242 0.902
0.343 0.378 0.686
0.657 0.622 0.314
0.000 0.000 0.000

=====

CaAcMgAg | the Alexandria database | PBE | optimized geometry; calculated volume = 30.7 Å³/atom; density of states at the Fermi level = 0.872 states/eV/atom; E above lowest polymorph = 0.027 eV/atom
1.0
5.579 0.000 0.000
2.790 4.832 0.000
2.790 1.611 4.555
Ag Ac Ca Mg
1 1 1 1
Direct
0.250 0.250 0.250
0.000 0.000 0.000
0.500 0.500 0.500
0.750 0.750 0.750

=====

Pa4CdO10 | the Alexandria database | PBE | optimized geometry; calculated volume = 13.5 Å³/atom; density of states at the Fermi level = 0.677 states/eV/atom; ΔE_f (raw) = -3.28 eV/atom
1.0
4.964 0.000 2.241
2.482 6.088 1.121
-0.023 0.000 6.669
Pa O Cd
4 10 1
Direct
0.203 0.399 0.196
0.399 0.804 0.399
0.797 0.601 0.804
0.601 0.196 0.601
0.156 0.311 0.893
0.050 0.107 0.311
0.844 0.689 0.107
0.533 0.107 0.311
0.361 0.689 0.107
0.950 0.893 0.689
0.639 0.311 0.893
0.750 0.500 0.500
0.250 0.500 0.500
0.467 0.893 0.689
0.000 0.000 0.000

=====

ReTeWI2 | the Alexandria database | PBE | optimized geometry; calculated volume = 33.4 Å³/atom; density of states at the Fermi level = 0.769 states/eV/atom; E above lowest polymorph = 0.000 eV/atom; ΔE_f (raw) = 1.76 eV/atom
1.0
-1.774 -3.922 -3.652
3.829 1.764 -3.754
3.477 -3.390 1.952
W I Re Te
1 2 1 1
Direct
0.000 0.000 0.000
0.500 0.000 0.000
0.000 0.500 0.000
0.500 0.500 0.500
0.000 0.000 0.500

=====

Li6HgRh | the Alexandria database | PBE | optimized geometry; calculated volume = 15.7 Å³/atom; density of states at the Fermi level = 0.505 states/eV/atom; E above lowest polymorph = 0.025 eV/atom
1.0
4.608 0.000 0.000
0.000 5.604 -0.185
0.000 -2.647 4.943
Li Hg Rh
6 1 1
Direct
0.000 0.582 0.914
0.000 0.581 0.419
0.500 0.391 0.071
0.500 0.929 0.609
0.500 0.930 0.070
0.000 0.086 0.418
0.500 0.416 0.584
0.000 0.083 0.917